Here is crystalline RbBe2Sb at its relaxed geometry from Alexandria. Energies are from PBE-GGA.

Cell lengths 9.0590, 9.0590, 9.0590 Å; angles 147.03, 147.03, 47.32 degrees
Positions (direct):
Rb: 0.3750 0.6250 0.7500
Rb: 0.6250 0.3750 0.2500
Be: 0.0000 0.0000 0.0000
Be: 0.0000 0.0000 0.5000
Be: 0.0000 0.5000 0.0000
Be: 0.5000 0.0000 0.5000
Sb: 0.1250 0.8750 0.2500
Sb: 0.8750 0.1250 0.7500

Results
- Space-group type: I4_1/amd (141)
- E above lowest polymorph: 0.000 eV per atom
- ΔE_f (raw): 0.49 eV per atom



Here is crystalline CuSi2OsN at its relaxed geometry from Alexandria. Energies are from PBE-GGA.

Cell lengths 4.6728, 4.6728, 3.2871 Å; angles 90.00, 90.00, 90.00 degrees
Positions (direct):
Cu: 0.0000 0.0000 0.0000
Si: 0.0000 0.5000 0.0000
Si: 0.5000 0.0000 0.0000
Os: 0.5000 0.5000 0.5000
N: 0.0000 0.0000 0.5000

Results
- Space-group type: P4/mmm (123)
- ΔE_f (raw): 1.37 eV per atom



Question: Look up the ΔE_f (raw) of the second one.
Answer: 1.37 eV per atom